TiCIO2: optimized geometry, PBE-GGA.

abc: 3.9263 3.9263 4.2381
angles: 90.00 90.00 90.00
Closest atoms and distances in Å follow each position.
Sites, in units of the cell vectors:
Ti (0.0000, 0.0000, 0.0000)  4 I 2.78, 8 O 2.89
C (0.5000, 0.5000, 0.5000)  4 O 1.96, 2 I 2.12
I (0.5000, 0.5000, 0.0000)  2 C 2.12
O (0.0000, 0.5000, 0.5000)  2 C 1.96
O (0.5000, 0.0000, 0.5000)  2 C 1.96

Summary:
space group: No. 123
raw formation energy: 0.9217 eV per atom
density of states at the Fermi level: 0.975 states/eV/atom

KCd7: optimized geometry, PBE-GGA.

abc: 7.3792 7.3792 4.5909
angles: 107.88 107.88 69.10
Closest atoms and distances in Å follow each position.
Sites, in units of the cell vectors:
K (0.0000, 0.0000, 0.0000)  12 Cd 3.54-3.84
Cd (0.1757, 0.5460, 0.3596)  7 Cd 2.87-3.19
Cd (0.2402, 0.2402, 0.7404)  7 Cd 2.87-3.09
Cd (0.4540, 0.8243, 0.6404)  7 Cd 2.87-3.19
Cd (0.5000, 0.5000, 0.0000)  10 Cd 2.93-3.19
Cd (0.5460, 0.1757, 0.3596)  7 Cd 2.87-3.19
Cd (0.7598, 0.7598, 0.2596)  7 Cd 2.87-3.09
Cd (0.8243, 0.4540, 0.6404)  7 Cd 2.87-3.19

Summary:
space group: No. 12
density of states at the Fermi level: 0.445 states/eV/atom
formation energy: -4.0 kJ per mole of atoms

Tm5Ag2Ir2: optimized geometry, PBE-GGA.

abc: 8.4835 8.4835 7.5597
angles: 90.00 90.00 51.76
Closest atoms and distances in Å follow each position.
Sites, in units of the cell vectors:
Tm (0.0000, 0.0000, 0.0000)  4 Ir 2.89-2.93, 2 Ag 3.21
Tm (0.0431, 0.7095, 0.6680)  3 Ir 2.81-2.99, 3 Ag 3.08-3.10
Tm (0.2095, 0.5431, 0.1680)  3 Ir 2.81-2.99, 3 Ag 3.08-3.10
Tm (0.2905, 0.9569, 0.6680)  3 Ir 2.81-2.99, 3 Ag 3.08-3.10
Tm (0.4569, 0.7905, 0.1680)  3 Ir 2.81-2.99, 3 Ag 3.08-3.10
Tm (0.5000, 0.5000, 0.5000)  4 Ir 2.89-2.93, 2 Ag 3.21
Tm (0.5431, 0.2095, 0.8320)  3 Ir 2.81-2.99, 3 Ag 3.08-3.10
Tm (0.7095, 0.0431, 0.3320)  3 Ir 2.81-2.99, 3 Ag 3.08-3.10
Tm (0.7905, 0.4569, 0.8320)  3 Ir 2.81-2.99, 3 Ag 3.08-3.10
Tm (0.9569, 0.2905, 0.3320)  3 Ir 2.81-2.99, 3 Ag 3.08-3.10
Ag (0.2106, 0.2106, 0.0000)  7 Tm 3.08-3.21
Ag (0.2894, 0.2894, 0.5000)  7 Tm 3.08-3.21
Ag (0.7106, 0.7106, 0.5000)  7 Tm 3.08-3.21
Ag (0.7894, 0.7894, 0.0000)  7 Tm 3.08-3.21
Ir (0.1361, 0.8639, 0.3635)  8 Tm 2.81-2.99, 1 Ir 2.88
Ir (0.3639, 0.6361, 0.8635)  8 Tm 2.81-2.99, 1 Ir 2.88
Ir (0.6361, 0.3639, 0.1365)  8 Tm 2.81-2.99, 1 Ir 2.88
Ir (0.8639, 0.1361, 0.6365)  8 Tm 2.81-2.99, 1 Ir 2.88

Summary:
space group: No. 64
density of states at the Fermi level: 0.708 states/eV/atom
formation energy: -59.0 kJ per mole of atoms

Pm3CI3: optimized geometry, PBE-GGA.

abc: 8.9515 4.0062 12.1660
angles: 90.00 92.31 90.00
Closest atoms and distances in Å follow each position.
Sites, in units of the cell vectors:
Pm (0.0845, 0.2500, 0.3988)  3 C 2.63-2.70
Pm (0.1122, 0.2500, 0.8171)  1 C 2.46
Pm (0.2971, 0.7500, 0.6150)  2 C 2.57
Pm (0.7029, 0.2500, 0.3850)  2 C 2.57
Pm (0.8878, 0.7500, 0.1829)  1 C 2.46
Pm (0.9155, 0.7500, 0.6012)  3 C 2.63-2.70
C (0.1179, 0.2500, 0.6149)  6 Pm 2.46-2.70
C (0.8821, 0.7500, 0.3851)  6 Pm 2.46-2.70
I (0.1449, 0.2500, 0.1260)  3 Pm 3.15-3.38
I (0.3767, 0.7500, 0.8713)  3 Pm 3.15-3.17
I (0.3831, 0.7500, 0.3657)  5 Pm 3.16-3.49
I (0.6169, 0.2500, 0.6343)  5 Pm 3.16-3.49
I (0.6233, 0.2500, 0.1287)  3 Pm 3.15-3.17
I (0.8551, 0.7500, 0.8740)  3 Pm 3.15-3.38

Summary:
space group: No. 11
raw formation energy: -1.0232 eV per atom
density of states at the Fermi level: 0.282 states/eV/atom